The following is a GGA+U calculation of crystalline CaFe2SnO6 at its relaxed geometry, from the Alexandria database.

Values from the calculation:
For the total energy, the calculation gives -6.435 eV/atom. As for the mass density: 5.1 g/cm³.

Structure (CIF):
```
data_CaFe2SnO6
_chemical_formula_sum 'Ca1 Fe2 Sn1 O6'
_cell_length_a 5.2947
_cell_length_b 5.3904
_cell_length_c 5.6200
_cell_angle_alpha 61.56
_cell_angle_beta 63.34
_cell_angle_gamma 61.18
_symmetry_space_group_name_H-M 'P 1'
_symmetry_Int_Tables_number 1
loop_
_symmetry_equiv_pos_as_xyz
'x,y,z'
loop_
_atom_site_label
_atom_site_type_symbol
_atom_site_fract_x
_atom_site_fract_y
_atom_site_fract_z
_atom_site_occupancy
O1 O 0.6058 0.2495 0.2484 1
O2 O 0.3616 0.7228 0.7388 1
O3 O 0.1577 0.3516 0.7545 1
O4 O 0.2422 0.9047 0.2275 1
O5 O 0.7291 0.1659 0.7539 1
O6 O 0.9030 0.6228 0.2243 1
Fe1 Fe 0.0246 0.0094 0.9552 1
Fe2 Fe 0.5257 0.5206 0.4369 1
Ca1 Ca 0.7984 0.7981 0.6154 1
Sn1 Sn 0.3136 0.3164 0.0604 1
```